1.
KGdYCo2 | PBE-GGA | relaxed

Lattice parameters (Å, degrees): 3.872 9.444 9.444 23.84 90.00 90.00
Site moments in Bohr magnetons follow the coordinates.
Sites, in units of the cell vectors:
Co1 0.000 0.222 0.222  0.80
Co2 0.000 0.779 0.779  0.80
Y1 0.500 0.332 0.332  -0.12
K1 0.000 0.999 0.999  0.00
Gd1 0.500 0.668 0.668  -0.16

Calculated values
M_tot: 1.19 μB per formula unit
Total energy: -5.251 eV/atom

***

2.
LaGdCo | PBE-GGA | relaxed

Lattice parameters (Å, degrees): 4.666 4.666 4.666 60.00 60.00 60.00
Sites, in units of the cell vectors:
Gd1 0.750 0.750 0.750
Co1 0.250 0.250 0.250
La1 0.000 0.000 0.000

Calculated values
M_tot: 0.00 μB per formula unit
Formation energy from the elements: 0.71 eV per atom
Total energy: -4.848 eV/atom

***

3.
LaGdCo2Sn4 | PBE-GGA | relaxed

Lattice parameters (Å, degrees): 4.525 9.375 9.375 27.49 90.00 90.00
Sites, in units of the cell vectors:
Sn1 0.500 0.749 0.749
Co1 0.500 0.181 0.181
Sn2 0.500 0.049 0.049
La1 0.500 0.389 0.389
Sn3 0.000 0.248 0.248
Gd1 0.000 0.612 0.612
Sn4 0.000 0.953 0.953
Co2 0.000 0.818 0.818

Calculated values
M_tot: 0.01 μB per formula unit
Total energy: -5.448 eV/atom

***

4.
La3GdY2CoTe2 | PBE-GGA | relaxed

Lattice parameters (Å, degrees): 4.095 8.562 8.562 119.94 90.00 90.00
Sites, in units of the cell vectors:
Te1 0.500 0.334 0.669
La1 0.000 0.594 0.594
La2 0.000 0.002 0.404
Co1 0.000 0.001 0.001
Y1 0.500 0.769 0.999
Gd1 0.500 0.228 0.228
Te2 0.500 0.669 0.334
Y2 0.500 0.999 0.769
La3 0.000 0.404 0.002

Calculated values
M_tot: 0.48 μB per formula unit
Total energy: -5.806 eV/atom

***

5.
LiGdCoS3 | PBE-GGA | relaxed

Lattice parameters (Å, degrees): 3.773 6.217 10.542 90.00 90.00 72.33
Site moments in Bohr magnetons follow the coordinates.
Sites, in units of the cell vectors:
Gd1 0.000 0.000 0.500  0.03
S1 0.914 0.172 0.250  0.14
S2 0.355 0.289 0.910  0.10
Li1 0.773 0.453 0.750  0.00
S3 0.355 0.289 0.590  0.10
S4 0.645 0.711 0.410  0.10
Gd2 0.000 0.000 0.000  0.03
Co1 0.481 0.038 0.750  1.80
Co2 0.519 0.962 0.250  1.80
S5 0.645 0.711 0.090  0.10
Li2 0.227 0.547 0.250  0.00
S6 0.086 0.828 0.750  0.14

Calculated values
M_tot: 2.49 μB per formula unit
Total energy: -5.509 eV/atom

***

6.
Gd2Lu2Co | PBE-GGA | relaxed

Lattice parameters (Å, degrees): 6.302 6.302 9.626 112.81 112.81 48.35
Sites, in units of the cell vectors:
Lu1 0.345 0.345 0.881
Gd1 0.636 0.636 0.693
Gd2 0.364 0.364 0.307
Lu2 0.153 0.153 0.487
Co1 0.398 0.398 0.640
Co2 0.602 0.602 0.360
Gd3 0.041 0.041 0.862
Lu3 0.655 0.655 0.119
Lu4 0.847 0.847 0.513
Gd4 0.959 0.959 0.138

Calculated values
M_tot: 0.00 μB per formula unit
Formation energy from the elements: -0.04 eV per atom
Total energy: -5.132 eV/atom

***

7.
GdLuCo | PBE-GGA | relaxed

Lattice parameters (Å, degrees): 4.681 4.681 4.681 60.00 60.00 60.00
Sites, in units of the cell vectors:
Lu1 0.000 0.000 0.000
Gd1 0.750 0.750 0.750
Co1 0.250 0.250 0.250

Calculated values
M_tot: 0.01 μB per formula unit
Formation energy from the elements: 0.78 eV per atom
Relative energy among the computed polymorphs: 0.000 eV per formula unit
Total energy: -4.649 eV/atom

***

8.
GdMgCo4 | PBE-GGA | relaxed

Lattice parameters (Å, degrees): 4.957 4.957 4.957 60.00 60.00 60.00
Site moments in Bohr magnetons follow the coordinates.
Sites, in units of the cell vectors:
Gd1 0.250 0.250 0.250  -0.33
Co1 0.626 0.626 0.626  1.42
Mg1 0.000 0.000 0.000  -0.02
Co2 0.626 0.123 0.626  1.41
Co3 0.626 0.626 0.123  1.48
Co4 0.123 0.626 0.626  0.97

Calculated values
M_tot: 4.71 μB per formula unit
Total energy: -5.898 eV/atom

***

9.
Sm2Gd2Mg3Co2 | PBE-GGA | relaxed

Lattice parameters (Å, degrees): 7.540 3.759 8.245 90.00 109.71 90.00
Sites, in units of the cell vectors:
Mg1 0.294 0.000 0.502
Co1 0.353 0.000 0.894
Gd1 0.602 0.500 0.822
Co2 0.647 0.000 0.106
Mg2 0.000 0.000 0.000
Sm1 0.098 0.500 0.727
Gd2 0.398 0.500 0.178
Sm2 0.902 0.500 0.273
Mg3 0.706 0.000 0.498

Calculated values
M_tot: 0.08 μB per formula unit
Total energy: -4.316 eV/atom

***

10.
GdYMgCo2 | PBE-GGA | relaxed

Lattice parameters (Å, degrees): 5.423 5.423 5.423 134.39 117.01 81.16
Sites, in units of the cell vectors:
Gd1 0.208 0.208 0.000
Co1 0.800 0.500 0.300
Co2 0.200 0.500 0.700
Mg1 0.500 0.000 0.500
Y1 0.792 0.792 0.000

Calculated values
M_tot: 0.00 μB per formula unit
Total energy: -5.548 eV/atom